First-principles (PBE) data for a relaxed V2MoHPt crystal, as listed in the Alexandria database.

Properties
- calculated total energy (Ha/atom) = -0.2881
- density of states at the Fermi level (states/eV/cell) = 6.02
- energy above the most stable polymorph in this dataset (meV per atom) = 78

Lattice parameters (Å, degrees): 4.0504 4.0504 3.6843 90.00 90.00 90.00
Last column: nearest neighbours and their distance in Å.
Positions (direct):
H 0.0000 0.0000 0.0000  2 Pt 1.84, 4 V 2.03
V 0.0000 0.5000 0.0000  2 H 2.03
V 0.5000 0.0000 0.0000  2 H 2.03
Mo 0.5000 0.5000 0.5000  8 V 2.74, 4 Pt 2.86
Pt 0.0000 0.0000 0.5000  2 H 1.84